## Cs4SiPb4 (GGA-PBE)

Data for a relaxed structure of Cs4SiPb4.

a b c (Å): 7.7663 7.7663 15.8343
angles (deg): 90.00 90.00 90.00
Closest atoms and distances in Å follow each position.
Space group I-42m (No. 121)
Unique sites:
Cs 0.1833 0.1833 0.3842  3 Pb 3.84-3.86, 1 Si 3.93, 1 Cs 4.03
Si 0.0000 0.0000 0.0000  4 Pb 2.74
Pb 0.1433 0.1433 0.1420  1 Si 2.74

Properties
DOS(E_F) = 1.231 states/eV per atom
ΔE_f (raw) = 0.07 eV/atom

## RbIn2Pd (GGA-PBE)

Data for a relaxed structure of RbIn2Pd.

a b c (Å): 4.7394 4.7394 20.0260
angles (deg): 90.00 90.00 120.00
Closest atoms and distances in Å follow each position.
Space group R-3m (No. 166, hexagonal axes)
Unique sites:
Rb 0.0000 0.0000 0.0000  8 In 3.86-3.95, 6 Pd 4.32
In 0.0000 0.0000 0.1974  3 Pd 2.80, 3 In 3.00
Pd 0.0000 0.0000 0.5000  6 In 2.80

Properties
DOS(E_F) = 0.513 states/eV per atom
formation enthalpy at 0 K = -0.25 eV per atom

## Gd2Ru2O7 (GGA-PBE)

Data for a relaxed structure of Gd2Ru2O7.

a b c (Å): 10.3351 10.3351 10.3351
angles (deg): 90.00 90.00 90.00
Closest atoms and distances in Å follow each position.
Space group Fd-3m (No. 227, origin choice 2)
Unique sites:
Gd 0.0000 0.0000 0.0000  8 O 2.24-2.50
Ru 0.0000 0.0000 0.5000  6 O 2.02
O 0.0843 0.3750 0.8750  2 Ru 2.02
O 0.1250 0.1250 0.1250  4 Gd 2.24

Properties
DOS(E_F) = 0.783 states/eV per atom
ΔE_f (raw) = -2.10 eV/atom

## Ba2CaTa (GGA-PBE)

Data for a relaxed structure of Ba2CaTa.

a b c (Å): 3.6802 6.1129 13.8175
angles (deg): 90.00 90.00 90.00
Closest atoms and distances in Å follow each position.
Space group Immm (No. 71)
Unique sites:
Ba 0.0000 0.0000 0.1953  2 Ta 3.27
Ca 0.0000 0.5000 0.0000  4 Ta 3.57, 2 Ca 3.68
Ta 0.0000 0.5000 0.5000  4 Ba 3.27, 4 Ca 3.57

Properties
DOS(E_F) = 1.178 states/eV per atom
formation enthalpy at 0 K = 0.89 eV per atom

## NaCa3Pt (GGA-PBE)

Data for a relaxed structure of NaCa3Pt.

a b c (Å): 6.4728 6.4728 18.7548
angles (deg): 90.00 90.00 90.00
Closest atoms and distances in Å follow each position.
Space group I-4m2 (No. 119)
Unique sites:
Na 0.0000 0.0000 0.1956  2 Pt 3.39, 2 Ca 3.64
Ca 0.0000 0.2470 0.3698  2 Pt 2.78-2.92
Ca 0.0000 0.5000 0.5407  2 Pt 3.33, 2 Ca 3.60
Pt 0.0000 0.0000 0.5000  4 Ca 2.92
Pt 0.0000 0.5000 0.2500  4 Ca 2.78

Properties
DOS(E_F) = 0.554 states/eV per atom
formation enthalpy at 0 K = -0.14 eV per atom

## Ac2HgI (GGA-PBE)

Data for a relaxed structure of Ac2HgI.

a b c (Å): 4.1631 4.1631 30.3700
angles (deg): 90.00 90.00 120.00
Closest atoms and distances in Å follow each position.
Space group R-3m (No. 166, hexagonal axes)
Unique sites:
Ac 0.0000 0.0000 0.2441  3 Hg 3.36, 3 I 3.62
Hg 0.0000 0.0000 0.5000  6 Ac 3.36
I 0.0000 0.0000 0.0000  6 Ac 3.62

Properties
DOS(E_F) = 0.867 states/eV per atom
ΔE_f (raw) = -0.65 eV/atom

| no. | E_tot (Ry/atom) |
| --- | --- |
| 1 | -0.1878 |
| 2 | -0.2320 |
| 3 | -0.6985 |
| 4 | -0.2598 |
| 5 | -0.2069 |
| 6 | -0.2330 |